No. 1
A relaxed structure of AcMgZn2Ni, computed with GGA-PBE.

Unit cell a=4.1894 b=4.2479 c=11.7990 alpha=90.00 beta=90.00 gamma=90.00
Last column: nearest neighbours and their distance in Å.
Space group Imm2 (No. 44)
One atom of each set of equivalent atoms:
Ac (0.0000, 0.0000, 0.0000) x2  4 Ni 3.20, 6 Zn 3.28-3.46, 2 Mg 3.52
Mg (0.0000, 0.5000, 0.7626) x2  2 Ni 2.66, 2 Zn 2.74
Zn (0.0000, 0.0000, 0.6160) x2  1 Ni 2.53, 2 Mg 2.74, 2 Zn 2.75
Zn (0.0000, 0.5000, 0.2669) x2  2 Ni 2.65, 2 Zn 2.75
Ni (0.0000, 0.0000, 0.4018) x2  3 Zn 2.53-2.65, 2 Mg 2.66

ΔH_f (0 K) in eV/atom: -0.25
Crystal system: orthorhombic
Calculated volume in Å³ per cell: 210.0

=====

No. 2
A relaxed structure of AcMgZnNi2, computed with GGA-PBE.

Unit cell a=4.0619 b=4.0619 c=11.6497 alpha=90.00 beta=90.00 gamma=90.00
Last column: nearest neighbours and their distance in Å.
Space group I-4m2 (No. 119)
One atom of each set of equivalent atoms:
Ac (0.0000, 0.0000, 0.0000) x2  8 Ni 3.13
Mg (0.0000, 0.5000, 0.2500) x2  4 Ni 2.63, 4 Zn 2.87
Zn (0.0000, 0.5000, 0.7500) x2  4 Ni 2.63, 4 Mg 2.87
Ni (0.0000, 0.0000, 0.3933) x4  1 Ni 2.49, 2 Mg 2.63, 2 Zn 2.63

ΔH_f (0 K) in eV/atom: -0.27
Crystal system: tetragonal
Calculated volume in Å³ per cell: 192.2

=====

No. 3
A relaxed structure of AcMgNpO6, computed with GGA-PBE.

Unit cell a=6.0021 b=6.0021 c=8.5329 alpha=90.00 beta=90.00 gamma=120.00
Last column: nearest neighbours and their distance in Å.
Space group P-31c (No. 163)
One atom of each set of equivalent atoms:
Ac (0.3333, 0.6667, 0.2500) x2  6 O 2.52
Mg (0.0000, 0.0000, 0.0000) x2  6 O 2.30
Np (0.3333, 0.6667, 0.7500) x2  6 O 2.04
O (0.0610, 0.3667, 0.6229) x12  1 Np 2.04

Crystal system: trigonal
Calculated volume in Å³ per cell: 266.2
Formation energy (no corrections) in kJ/mol of formula units: -2306